[1]
First-principles (PBE-GGA) data for a relaxed CaHgBr4 crystal, as listed in the Alexandria database.

The structure in POSCAR format:
```
CaHgBr4
1.0
4.415 -9.455 0.000
4.415 9.455 0.000
-4.114 0.000 5.225
Ca Hg Br
2 2 8
direct
0.184 0.816 0.750
0.816 0.184 0.250
0.385 0.615 0.250
0.615 0.385 0.750
0.095 0.500 0.794
0.143 0.281 0.219
0.281 0.143 0.719
0.500 0.095 0.294
0.500 0.905 0.706
0.719 0.857 0.281
0.857 0.719 0.781
0.905 0.500 0.206
```

uncorrected formation energy = -1.20 eV/atom
total magnetic moment = 0.000 μB/cell
DOS(E_F) = 0.000 states/eV per atom
uncorrected energy = -16.2 eV/f.u.


[2]
First-principles (PBE-GGA) data for a relaxed Rb2MnI6Br crystal, as listed in the Alexandria database.

The structure in POSCAR format:
```
Rb2MnI6Br
1.0
-4.160 4.160 6.248
4.160 -4.160 6.248
4.160 4.160 -6.248
Rb Mn I Br
2 1 6 1
direct
0.250 0.750 0.500
0.750 0.250 0.500
0.000 0.000 0.000
0.214 0.214 0.000
0.234 0.234 0.468
0.234 0.766 0.000
0.766 0.234 0.000
0.766 0.766 0.532
0.786 0.786 0.000
0.500 0.500 0.000
```

uncorrected formation energy = -0.67 eV/atom
total magnetic moment = 3.072 μB/cell
DOS(E_F) = 0.542 states/eV per atom
uncorrected energy = -28.8 eV/f.u.


[3]
First-principles (PBE-GGA) data for a relaxed GaSbTe2Mo crystal, as listed in the Alexandria database.

The structure in POSCAR format:
```
GaSbTe2Mo
1.0
5.381 0.000 0.000
0.000 5.381 0.000
0.000 0.000 5.253
Ga Sb Te Mo
1 1 2 1
direct
0.000 0.000 0.000
0.500 0.500 0.000
0.000 0.500 0.500
0.500 0.000 0.500
0.500 0.500 0.500
```

uncorrected formation energy = 0.44 eV/atom
total magnetic moment = 0.002 μB/cell
DOS(E_F) = 1.107 states/eV per atom
uncorrected energy = -22.1 eV/f.u.


[4]
First-principles (PBE-GGA) data for a relaxed TcMo2Pb crystal, as listed in the Alexandria database.

The structure in POSCAR format:
```
TcMo2Pb
1.0
2.993 0.000 0.000
0.000 4.147 0.000
-0.011 0.000 5.686
Tc Mo Pb
1 2 1
direct
0.000 0.000 0.000
0.497 0.500 0.210
0.503 0.500 0.790
0.000 0.000 0.500
```

total magnetic moment = 0.000 μB/cell
energy of formation = 462 meV/atom
DOS(E_F) = 0.942 states/eV per atom
uncorrected energy = -33.9 eV/f.u.


[5]
First-principles (PBE-GGA) data for a relaxed LiTiBiPd crystal, as listed in the Alexandria database.

The structure in POSCAR format:
```
LiTiBiPd
1.0
6.606 0.000 0.000
0.000 6.606 0.000
0.000 0.000 6.606
Li Ti Bi Pd
4 4 4 4
direct
0.000 0.000 0.000
0.000 0.500 0.500
0.500 0.000 0.500
0.500 0.500 0.000
0.000 0.000 0.500
0.000 0.500 0.000
0.500 0.000 0.000
0.500 0.500 0.500
0.250 0.250 0.750
0.250 0.750 0.250
0.750 0.250 0.250
0.750 0.750 0.750
0.250 0.250 0.250
0.250 0.750 0.750
0.750 0.250 0.750
0.750 0.750 0.250
```

total magnetic moment = 0.257 μB/cell
energy of formation = -326 meV/atom
DOS(E_F) = 0.692 states/eV per atom
uncorrected energy = -20.2 eV/f.u.


[6]
First-principles (PBE-GGA) data for a relaxed K3In2H6 crystal, as listed in the Alexandria database.

The structure in POSCAR format:
```
K3In2H6
1.0
3.060 -3.060 0.000
3.060 3.060 0.000
-3.028 0.000 10.238
K In H
3 2 6
direct
0.000 0.000 0.000
0.180 0.180 0.363
0.820 0.820 0.637
0.417 0.417 0.830
0.583 0.583 0.170
0.091 0.591 0.186
0.317 0.317 0.629
0.409 0.909 0.814
0.591 0.091 0.186
0.683 0.683 0.371
0.909 0.409 0.814
```

total magnetic moment = 0.000 μB/cell
DOS(E_F) = 0.189 states/eV per atom
uncorrected energy = -29.2 eV/f.u.


[7]
First-principles (PBE-GGA) data for a relaxed LiMgTiCl2 crystal, as listed in the Alexandria database.

The structure in POSCAR format:
```
LiMgTiCl2
1.0
4.743 0.000 0.000
0.000 4.743 0.000
0.000 0.000 6.417
Li Mg Ti Cl
1 1 1 2
direct
0.000 0.000 0.000
0.500 0.500 0.000
0.000 0.000 0.500
0.000 0.500 0.500
0.500 0.000 0.500
```

uncorrected formation energy = -0.40 eV/atom
total magnetic moment = 2.189 μB/cell
DOS(E_F) = 0.582 states/eV per atom
uncorrected energy = -17.1 eV/f.u.


[8]
First-principles (PBE-GGA) data for a relaxed Mn2ReOs crystal, as listed in the Alexandria database.

The structure in POSCAR format:
```
Mn2ReOs
1.0
5.320 0.000 0.000
0.000 5.320 0.000
0.000 0.000 10.487
Mn Re Os
8 4 4
direct
0.246 0.250 0.125
0.250 0.746 0.375
0.250 0.754 0.875
0.254 0.250 0.625
0.746 0.750 0.625
0.750 0.246 0.875
0.750 0.254 0.375
0.754 0.750 0.125
0.000 0.000 0.500
0.000 0.500 0.750
0.500 0.000 0.250
0.500 0.500 0.000
0.000 0.000 0.000
0.000 0.500 0.250
0.500 0.000 0.750
0.500 0.500 0.500
```

total magnetic moment = 0.000 μB/cell
energy of formation = 1458 meV/atom
DOS(E_F) = 1.212 states/eV per atom
uncorrected energy = -36.2 eV/f.u.


[9]
First-principles (PBE-GGA) data for a relaxed Tb3NdDy5 crystal, as listed in the Alexandria database.

The structure in POSCAR format:
```
Tb3NdDy5
1.0
8.402 -4.004 0.000
8.402 4.004 0.000
-8.038 0.000 9.293
Tb Nd Dy
6 2 10
direct
0.000 0.000 0.000
0.118 0.118 0.813
0.324 0.324 0.158
0.500 0.500 0.500
0.676 0.676 0.842
0.882 0.882 0.187
0.263 0.263 0.370
0.737 0.737 0.630
0.180 0.820 0.500
0.200 0.200 0.570
0.231 0.640 0.720
0.360 0.769 0.280
0.375 0.375 0.933
0.625 0.625 0.067
0.640 0.231 0.720
0.769 0.360 0.280
0.800 0.800 0.430
0.820 0.180 0.500
```

total magnetic moment = 0.000 μB/cell
energy of formation = 410 meV/atom
DOS(E_F) = 1.489 states/eV per atom
uncorrected energy = -38.0 eV/f.u.


[10]
First-principles (PBE-GGA) data for a relaxed TlCoBr3 crystal, as listed in the Alexandria database.

The structure in POSCAR format:
```
TlCoBr3
1.0
5.155 0.000 0.000
0.000 5.155 0.000
0.000 0.000 5.155
Tl Co Br
1 1 3
direct
0.000 0.000 0.000
0.500 0.500 0.500
0.000 0.500 0.500
0.500 0.000 0.500
0.500 0.500 0.000
```

uncorrected formation energy = -0.39 eV/atom
total magnetic moment = 2.567 μB/cell
DOS(E_F) = 1.725 states/eV per atom
uncorrected energy = -16.4 eV/f.u.


[11]
First-principles (PBE-GGA) data for a relaxed In2NiHg crystal, as listed in the Alexandria database.

The structure in POSCAR format:
```
In2NiHg
1.0
5.134 0.000 0.000
0.000 3.384 0.000
-2.023 0.000 5.522
In Ni Hg
2 1 1
direct
0.194 0.000 0.348
0.806 0.000 0.652
0.000 0.500 0.000
0.500 0.500 0.000
```

total magnetic moment = 0.000 μB/cell
energy of formation = 107 meV/atom
DOS(E_F) = 0.524 states/eV per atom
uncorrected energy = -11.1 eV/f.u.


[12]
First-principles (PBE-GGA) data for a relaxed TcNi2W crystal, as listed in the Alexandria database.

The structure in POSCAR format:
```
TcNi2W
1.0
3.125 0.000 0.000
0.000 3.125 0.000
0.000 0.000 5.412
Tc Ni W
1 2 1
direct
0.000 0.000 0.000
0.000 0.000 0.523
0.500 0.500 0.734
0.500 0.500 0.268
```

total magnetic moment = 0.000 μB/cell
energy of formation = 18 meV/atom
DOS(E_F) = 0.979 states/eV per atom
uncorrected energy = -34.8 eV/f.u.


> Which of these has the highest total magnetic moment?

Rb2MnI6Br


> What is the formula in the twelfth record?

TcNi2W


> Look up the total magnetic moment of the eighth one.

0.000 μB/cell